## HoZr4Tl5 (PBE)

Data for crystalline HoZr4Tl5 at its relaxed geometry.

Cell and atoms, written as POSCAR:
```
HoZr4Tl5
1.0
3.256 0.000 0.000
0.000 3.256 0.000
0.000 0.000 22.196
Ho Zr Tl
1 4 5
Direct
0.000 0.000 0.000 Ho
0.000 0.000 0.206 Zr
0.000 0.000 0.402 Zr
0.000 0.000 0.598 Zr
0.000 0.000 0.794 Zr
0.500 0.500 0.106 Tl
0.500 0.500 0.304 Tl
0.500 0.500 0.500 Tl
0.500 0.500 0.696 Tl
0.500 0.500 0.894 Tl
```

Calculated values
Calculated formation energy ... -0.1041 eV/atom
Symmetry ... P4/mmm